# 1
Here is crystalline InTe2AsI at its relaxed geometry from Alexandria via LeMat-Bulk. Energies are from PBE.

```
data_InTe2AsI
_space_group_name_H-M_alt 'P 1'
_space_group_IT_number 1
_cell_length_a 5.552
_cell_length_b 5.552
_cell_length_c 5.775
_cell_angle_alpha 90.00
_cell_angle_beta 90.00
_cell_angle_gamma 90.00
loop_
_space_group_symop_operation_xyz
'x,y,z'
loop_
_atom_site_label
_atom_site_fract_x
_atom_site_fract_y
_atom_site_fract_z
In1 0.500 0.500 0.500
As1 0.000 0.000 0.000
Te1 0.500 0.000 0.000
Te2 0.000 0.500 0.000
I1 0.000 0.000 0.500
```

Values from the calculation:
SG: P4/mmm, No. 123
E in eV per atom: -2.868


# 2
Here is crystalline InTeAsI2 at its relaxed geometry from Alexandria via LeMat-Bulk. Energies are from PBE.

```
data_InTeAsI2
_space_group_name_H-M_alt 'P 1'
_space_group_IT_number 1
_cell_length_a 5.823
_cell_length_b 5.823
_cell_length_c 6.145
_cell_angle_alpha 90.00
_cell_angle_beta 90.00
_cell_angle_gamma 90.00
loop_
_space_group_symop_operation_xyz
'x,y,z'
loop_
_atom_site_label
_atom_site_fract_x
_atom_site_fract_y
_atom_site_fract_z
I1 0.500 0.000 0.000
I2 0.000 0.500 0.000
Te1 0.000 0.000 0.500
In1 0.000 0.000 0.000
As1 0.500 0.500 0.500
```

Values from the calculation:
SG: P4/mmm, No. 123
E in eV per atom: -2.226


# 3
Here is crystalline InTeAsI2 at its relaxed geometry from Alexandria via LeMat-Bulk. Energies are from PBE.

```
data_InTeAsI2
_space_group_name_H-M_alt 'P 1'
_space_group_IT_number 1
_cell_length_a 5.988
_cell_length_b 5.988
_cell_length_c 5.861
_cell_angle_alpha 90.00
_cell_angle_beta 90.00
_cell_angle_gamma 90.00
loop_
_space_group_symop_operation_xyz
'x,y,z'
loop_
_atom_site_label
_atom_site_fract_x
_atom_site_fract_y
_atom_site_fract_z
I1 0.000 0.500 0.000
Te1 0.000 0.000 0.500
As1 0.000 0.000 0.000
I2 0.500 0.000 0.000
In1 0.500 0.500 0.500
```

Values from the calculation:
SG: P4/mmm, No. 123
E in eV per atom: -2.660


# 4
Here is crystalline AsIrI2 at its relaxed geometry from Alexandria via LeMat-Bulk. Energies are from PBE.

```
data_AsIrI2
_space_group_name_H-M_alt 'P 1'
_space_group_IT_number 1
_cell_length_a 5.032
_cell_length_b 5.032
_cell_length_c 5.032
_cell_angle_alpha 60.00
_cell_angle_beta 60.00
_cell_angle_gamma 60.00
loop_
_space_group_symop_operation_xyz
'x,y,z'
loop_
_atom_site_label
_atom_site_fract_x
_atom_site_fract_y
_atom_site_fract_z
Ir1 0.500 0.500 0.500
As1 0.000 0.000 0.000
I1 0.750 0.750 0.750
I2 0.250 0.250 0.250
```

Values from the calculation:
SG: Fm-3m, No. 225
E in eV per atom: -3.017


# 5
Here is crystalline As3IrI at its relaxed geometry from Alexandria via LeMat-Bulk. Energies are from PBE.

```
data_As3IrI
_space_group_name_H-M_alt 'P 1'
_space_group_IT_number 1
_cell_length_a 4.945
_cell_length_b 4.945
_cell_length_c 4.945
_cell_angle_alpha 90.00
_cell_angle_beta 90.00
_cell_angle_gamma 90.00
loop_
_space_group_symop_operation_xyz
'x,y,z'
loop_
_atom_site_label
_atom_site_fract_x
_atom_site_fract_y
_atom_site_fract_z
Ir1 0.000 0.000 0.000
As1 0.000 0.000 0.500
I1 0.500 0.500 0.500
As2 0.500 0.000 0.000
As3 0.000 0.500 0.000
```

Values from the calculation:
SG: Pm-3m, No. 221
E in eV per atom: -4.303


# 6
Here is crystalline AsIr2I2 at its relaxed geometry from Alexandria via LeMat-Bulk. Energies are from PBE.

```
data_AsIr2I2
_space_group_name_H-M_alt 'P 1'
_space_group_IT_number 1
_cell_length_a 8.519
_cell_length_b 8.519
_cell_length_c 3.151
_cell_angle_alpha 90.00
_cell_angle_beta 90.00
_cell_angle_gamma 90.00
loop_
_space_group_symop_operation_xyz
'x,y,z'
loop_
_atom_site_label
_atom_site_fract_x
_atom_site_fract_y
_atom_site_fract_z
I1 0.722 0.222 0.000
As1 0.000 0.000 0.000
Ir1 0.897 0.397 0.500
I2 0.778 0.722 0.000
I3 0.222 0.278 0.000
I4 0.278 0.778 0.000
As2 0.500 0.500 0.000
Ir2 0.103 0.603 0.500
Ir3 0.603 0.897 0.500
Ir4 0.397 0.103 0.500
```

Values from the calculation:
SG: P4/mbm, No. 127
E in eV per atom: -3.915


# 7
Here is crystalline AsIr3I at its relaxed geometry from Alexandria via LeMat-Bulk. Energies are from PBE.

```
data_AsIr3I
_space_group_name_H-M_alt 'P 1'
_space_group_IT_number 1
_cell_length_a 4.674
_cell_length_b 4.674
_cell_length_c 4.674
_cell_angle_alpha 90.00
_cell_angle_beta 90.00
_cell_angle_gamma 90.00
loop_
_space_group_symop_operation_xyz
'x,y,z'
loop_
_atom_site_label
_atom_site_fract_x
_atom_site_fract_y
_atom_site_fract_z
Ir1 0.000 0.500 0.000
Ir2 0.000 0.000 0.500
As1 0.000 0.000 0.000
Ir3 0.500 0.000 0.000
I1 0.500 0.500 0.500
```

Values from the calculation:
SG: Pm-3m, No. 221
E in eV per atom: -5.277


# 8
Here is crystalline AsIrI2 at its relaxed geometry from Alexandria via LeMat-Bulk. Energies are from PBE.

```
data_AsIrI2
_space_group_name_H-M_alt 'P 1'
_space_group_IT_number 1
_cell_length_a 7.375
_cell_length_b 7.375
_cell_length_c 6.576
_cell_angle_alpha 55.90
_cell_angle_beta 55.90
_cell_angle_gamma 90.00
loop_
_space_group_symop_operation_xyz
'x,y,z'
loop_
_atom_site_label
_atom_site_fract_x
_atom_site_fract_y
_atom_site_fract_z
Ir1 0.750 0.250 0.500
I1 0.375 0.337 0.750
I2 0.663 0.125 0.250
Ir2 0.000 0.000 0.000
As1 0.500 0.500 0.000
I3 0.087 0.625 0.250
I4 0.875 0.913 0.750
As2 0.250 0.750 0.500
```

Values from the calculation:
SG: I-42d, No. 122
E in eV per atom: -3.338


# 9
Here is crystalline AsIr3I at its relaxed geometry from Alexandria via LeMat-Bulk. Energies are from PBE.

```
data_AsIr3I
_space_group_name_H-M_alt 'P 1'
_space_group_IT_number 1
_cell_length_a 4.863
_cell_length_b 4.863
_cell_length_c 4.863
_cell_angle_alpha 90.00
_cell_angle_beta 90.00
_cell_angle_gamma 90.00
loop_
_space_group_symop_operation_xyz
'x,y,z'
loop_
_atom_site_label
_atom_site_fract_x
_atom_site_fract_y
_atom_site_fract_z
Ir1 0.000 0.500 0.000
I1 0.000 0.000 0.000
Ir2 0.500 0.000 0.000
As1 0.500 0.500 0.500
Ir3 0.000 0.000 0.500
```

Values from the calculation:
SG: Pm-3m, No. 221
E in eV per atom: -4.467


# 10
Here is crystalline AsIr2I2 at its relaxed geometry from Alexandria via LeMat-Bulk. Energies are from PBE.

```
data_AsIr2I2
_space_group_name_H-M_alt 'P 1'
_space_group_IT_number 1
_cell_length_a 3.821
_cell_length_b 3.821
_cell_length_c 8.319
_cell_angle_alpha 76.72
_cell_angle_beta 76.72
_cell_angle_gamma 90.00
loop_
_space_group_symop_operation_xyz
'x,y,z'
loop_
_atom_site_label
_atom_site_fract_x
_atom_site_fract_y
_atom_site_fract_z
Ir1 0.750 0.250 0.500
Ir2 0.250 0.750 0.500
As1 0.000 0.000 0.000
I1 0.377 0.377 0.246
I2 0.623 0.623 0.754
```

Values from the calculation:
SG: I4/mmm, No. 139
E in eV per atom: -4.179


# 11
Here is crystalline AsIr2I at its relaxed geometry from Alexandria via LeMat-Bulk. Energies are from PBE.

```
data_AsIr2I
_space_group_name_H-M_alt 'P 1'
_space_group_IT_number 1
_cell_length_a 4.849
_cell_length_b 4.849
_cell_length_c 8.155
_cell_angle_alpha 72.70
_cell_angle_beta 72.70
_cell_angle_gamma 90.00
loop_
_space_group_symop_operation_xyz
'x,y,z'
loop_
_atom_site_label
_atom_site_fract_x
_atom_site_fract_y
_atom_site_fract_z
Ir1 0.194 0.625 0.250
Ir2 0.375 0.444 0.750
I1 0.750 0.250 0.500
As1 0.500 0.500 0.000
I2 0.000 0.000 0.000
As2 0.250 0.750 0.500
Ir3 0.556 0.125 0.250
Ir4 0.875 0.806 0.750
```

Values from the calculation:
SG: I-42d, No. 122
E in eV per atom: -5.506


# 12
Here is crystalline AsIrI at its relaxed geometry from Alexandria via LeMat-Bulk. Energies are from PBE.

```
data_AsIrI
_space_group_name_H-M_alt 'P 1'
_space_group_IT_number 1
_cell_length_a 3.826
_cell_length_b 7.149
_cell_length_c 6.682
_cell_angle_alpha 70.46
_cell_angle_beta 106.65
_cell_angle_gamma 74.50
loop_
_space_group_symop_operation_xyz
'x,y,z'
loop_
_atom_site_label
_atom_site_fract_x
_atom_site_fract_y
_atom_site_fract_z
As1 0.813 0.843 0.470
I1 0.193 0.696 0.082
Ir1 0.514 0.238 0.266
I2 0.807 0.304 0.918
Ir2 0.486 0.762 0.734
As2 0.187 0.157 0.530
```

Values from the calculation:
SG: C2/m, No. 12
E in eV per atom: -5.039


Copy entry 3 word for word.
Here is crystalline InTeAsI2 at its relaxed geometry from Alexandria via LeMat-Bulk. Energies are from PBE.

```
data_InTeAsI2
_space_group_name_H-M_alt 'P 1'
_space_group_IT_number 1
_cell_length_a 5.988
_cell_length_b 5.988
_cell_length_c 5.861
_cell_angle_alpha 90.00
_cell_angle_beta 90.00
_cell_angle_gamma 90.00
loop_
_space_group_symop_operation_xyz
'x,y,z'
loop_
_atom_site_label
_atom_site_fract_x
_atom_site_fract_y
_atom_site_fract_z
I1 0.000 0.500 0.000
Te1 0.000 0.000 0.500
As1 0.000 0.000 0.000
I2 0.500 0.000 0.000
In1 0.500 0.500 0.500
```

Values from the calculation:
SG: P4/mmm, No. 123
E in eV per atom: -2.660


- The highest E belongs to which entry?
  number 2